Here is crystalline Ge3BiPd3 at its relaxed geometry from Alexandria via LeMat-Bulk. Energies are from PBE-GGA.

Cell: 6.8924 6.8924 6.8924 Å, 90.00 90.00 90.00°
Space group Pm-3n (No. 223)
Inequivalent atoms, fractional coordinates:
Ge  0.0000  0.2500  0.5000
Bi  0.0000  0.0000  0.0000
Pd  0.0000  0.5000  0.2500

Properties
Energy relative to the elements ... 0.114 eV per atom

---

Here is crystalline ScCo2HPt at its relaxed geometry from Alexandria via LeMat-Bulk. Energies are from PBE-GGA.

Cell: 3.8477 3.8477 3.9055 Å, 90.00 90.00 90.00°
Space group P4/mmm (No. 123)
Inequivalent atoms, fractional coordinates:
Sc  0.0000  0.0000  0.0000
Co  0.0000  0.5000  0.5000
H  0.5000  0.5000  0.5000
Pt  0.5000  0.5000  0.0000

Properties
Relative energy among the computed polymorphs ... 0.275 eV/f.u.

---

| no. | density of states at the Fermi level (states/eV per atom) |
| --- | --- |
| 1 | 1.0099 |
| 2 | 0.9894 |